Entry 1:
Compound: La4IrSe
Source: the Alexandria database
Functional: PBE
Structure: optimized geometry

Computed properties:
E (eV per formula unit): -30.45
Uncorrected formation energy (eV/f.u.): 1.6
DOS(E_F) (states/eV/atom): 1.54

Cell: 6.174 6.174 6.174 Å, 60.00 60.00 60.00°
Fractional coordinates of all 6 atoms:
La  0.375  0.375  0.875
La  0.375  0.875  0.375
La  0.875  0.375  0.375
La  0.375  0.375  0.375
Ir  0.000  0.000  0.000
Se  0.750  0.750  0.750


Entry 2:
Compound: La2IrSe
Source: the Alexandria database
Functional: PBE
Structure: optimized geometry

Computed properties:
E (eV per formula unit): -27.65
Uncorrected formation energy (eV/f.u.): -5.4
DOS(E_F) (states/eV/atom): 0.46
Distance to the lowest polymorph of the same formula (eV per formula unit): 0.000

Cell: 4.209 6.078 8.732 Å, 90.00 90.00 90.00°
Fractional coordinates of all 8 atoms:
Se  0.000  0.500  0.893
Se  0.500  0.000  0.107
La  0.000  0.000  0.839
La  0.500  0.500  0.161
La  0.500  0.500  0.617
La  0.000  0.000  0.383
Ir  0.000  0.500  0.380
Ir  0.500  0.000  0.620


Entry 3:
Compound: LaIrSe
Source: the Alexandria database
Functional: PBE
Structure: optimized geometry

Computed properties:
E (eV per formula unit): -18.62
Uncorrected formation energy (eV/f.u.): -1.3
DOS(E_F) (states/eV/atom): 0.81
Distance to the lowest polymorph of the same formula (eV per formula unit): 1.872

Cell: 3.867 3.960 10.782 Å, 90.00 90.00 119.22°
Fractional coordinates of all 6 atoms:
Se  0.284  0.569  0.866
Se  0.284  0.569  0.134
Ir  0.580  0.160  0.000
Ir  0.286  0.573  0.500
La  0.616  0.232  0.328
La  0.616  0.232  0.672


Entry 4:
Compound: La2IrSe
Source: the Alexandria database
Functional: PBE
Structure: optimized geometry

Computed properties:
E (eV per formula unit): -25.11
Uncorrected formation energy (eV/f.u.): -2.9
DOS(E_F) (states/eV/atom): 0.95
Distance to the lowest polymorph of the same formula (eV per formula unit): 2.531

Cell: 7.517 7.517 7.517 Å, 33.90 33.90 33.90°
Site moments in Bohr magnetons follow the coordinates.
Fractional coordinates of all 4 atoms:
La  0.037  0.037  0.037  0.12
La  0.212  0.212  0.212  0.06
Se  0.463  0.463  0.463  0.02
Ir  0.788  0.788  0.788  0.05


Entry 5:
Compound: LaIrSe2
Source: the Alexandria database
Functional: PBE
Structure: optimized geometry

Computed properties:
E (eV per formula unit): -24.43
Uncorrected formation energy (eV/f.u.): -3.7
DOS(E_F) (states/eV/atom): 0.32
Distance to the lowest polymorph of the same formula (eV per formula unit): 0.223

Cell: 4.476 4.159 5.844 Å, 65.87 90.00 90.00°
Fractional coordinates of all 4 atoms:
Se  0.500  0.386  0.338
Se  0.000  0.066  0.931
Ir  0.000  0.385  0.470
La  0.500  0.663  0.761


Entry 6:
Compound: La2IrSe
Source: the Alexandria database
Functional: PBE
Structure: optimized geometry

Computed properties:
E (eV per formula unit): -26.45
Uncorrected formation energy (eV/f.u.): -4.2
DOS(E_F) (states/eV/atom): 0.51
Distance to the lowest polymorph of the same formula (eV per formula unit): 1.195

Cell: 5.300 5.300 5.300 Å, 128.59 111.83 90.25°
Fractional coordinates of all 4 atoms:
La  0.486  0.486  0.000
La  0.014  0.014  0.000
Ir  0.250  0.750  0.500
Se  0.750  0.250  0.500


Entry 7:
Compound: La2IrSe
Source: the Alexandria database
Functional: PBE
Structure: optimized geometry

Computed properties:
E (eV per formula unit): -26.22
Uncorrected formation energy (eV/f.u.): -4.0
DOS(E_F) (states/eV/atom): 1.16
Distance to the lowest polymorph of the same formula (eV per formula unit): 1.421

Cell: 7.600 7.600 6.804 Å, 56.05 56.05 90.00°
Fractional coordinates of all 8 atoms:
Ir  0.000  0.000  0.000
Ir  0.750  0.250  0.500
La  0.375  0.348  0.750
La  0.098  0.625  0.250
La  0.875  0.902  0.750
La  0.652  0.125  0.250
Se  0.250  0.750  0.500
Se  0.500  0.500  0.000


Entry 8:
Compound: La6Ir3Se
Source: the Alexandria database
Functional: PBE
Structure: optimized geometry

Computed properties:
E (eV per formula unit): -68.70
Uncorrected formation energy (eV/f.u.): -9.1
DOS(E_F) (states/eV/atom): 0.58

Cell: 4.231 12.375 12.167 Å, 109.34 90.00 90.00°
Fractional coordinates of all 20 atoms:
La  0.250  0.245  0.228
La  0.750  0.929  0.097
La  0.250  0.545  0.405
La  0.750  0.455  0.595
La  0.250  0.071  0.903
La  0.750  0.129  0.444
La  0.250  0.609  0.956
La  0.750  0.712  0.266
La  0.250  0.871  0.556
La  0.750  0.391  0.044
La  0.750  0.755  0.772
La  0.250  0.288  0.734
Ir  0.250  0.542  0.170
Ir  0.750  0.458  0.830
Ir  0.250  0.301  0.493
Ir  0.250  0.843  0.927
Ir  0.750  0.699  0.507
Ir  0.750  0.157  0.073
Se  0.250  0.931  0.322
Se  0.750  0.069  0.678


Entry 9:
Compound: LaIrSe2
Source: the Alexandria database
Functional: PBE
Structure: optimized geometry

Computed properties:
E (eV per formula unit): -22.79
Uncorrected formation energy (eV/f.u.): -2.0
DOS(E_F) (states/eV/atom): 1.18
Distance to the lowest polymorph of the same formula (eV per formula unit): 1.870

Cell: 5.788 5.788 5.788 Å, 138.05 138.05 60.82°
Fractional coordinates of all 4 atoms:
La  0.750  0.250  0.500
Se  0.250  0.750  0.500
Se  0.000  0.000  0.000
Ir  0.500  0.500  0.000


Entry 10:
Compound: LaIrSe
Source: the Alexandria database
Functional: PBE
Structure: optimized geometry

Computed properties:
E (eV per formula unit): -18.49
Uncorrected formation energy (eV/f.u.): -1.2
DOS(E_F) (states/eV/atom): 1.25
Distance to the lowest polymorph of the same formula (eV per formula unit): 1.998

Cell: 5.745 5.745 5.745 Å, 143.63 143.63 52.38°
Fractional coordinates of all 3 atoms:
La  0.343  0.343  0.000
Se  0.624  0.624  0.000
Ir  0.033  0.033  0.000


Entry 11:
Compound: La2Ir2Se
Source: the Alexandria database
Functional: PBE
Structure: optimized geometry

Computed properties:
E (eV per formula unit): -35.03
Uncorrected formation energy (eV/f.u.): -4.0
DOS(E_F) (states/eV/atom): 0.22
Distance to the lowest polymorph of the same formula (eV per formula unit): 0.000

Cell: 5.574 5.574 5.603 Å, 60.17 60.17 90.00°
Fractional coordinates of all 5 atoms:
Ir  0.660  0.660  0.681
Ir  0.340  0.340  0.319
La  0.750  0.250  0.500
La  0.250  0.750  0.500
Se  0.000  0.000  0.000


Entry 12:
Compound: LaIrSe2
Source: the Alexandria database
Functional: PBE
Structure: optimized geometry

Computed properties:
E (eV per formula unit): -22.82
Uncorrected formation energy (eV/f.u.): -2.1
DOS(E_F) (states/eV/atom): 1.06
Distance to the lowest polymorph of the same formula (eV per formula unit): 1.838

Cell: 5.160 4.785 5.163 Å, 71.28 66.09 108.69°
Fractional coordinates of all 4 atoms:
Ir  0.000  0.500  0.500
La  0.500  0.500  0.000
Se  0.500  0.000  0.500
Se  0.000  0.000  0.000


Entry 13:
Compound: LaIrSe
Source: the Alexandria database
Functional: PBE
Structure: optimized geometry

Computed properties:
E (eV per formula unit): -19.60
Uncorrected formation energy (eV/f.u.): -2.3
DOS(E_F) (states/eV/atom): 0.43
Distance to the lowest polymorph of the same formula (eV per formula unit): 0.892

Cell: 4.671 4.671 4.671 Å, 60.00 60.00 60.00°
Fractional coordinates of all 3 atoms:
Se  0.500  0.500  0.500
Ir  0.750  0.750  0.750
La  0.000  0.000  0.000


Entry 14:
Compound: LaIrSe2
Source: the Alexandria database
Functional: PBE
Structure: optimized geometry

Computed properties:
E (eV per formula unit): -24.53
Uncorrected formation energy (eV/f.u.): -3.8
DOS(E_F) (states/eV/atom): 0.47
Distance to the lowest polymorph of the same formula (eV per formula unit): 0.130

Cell: 5.378 5.378 4.562 Å, 76.47 76.47 49.90°
Fractional coordinates of all 4 atoms:
Se  0.659  0.659  0.784
Se  0.964  0.964  0.373
Ir  0.560  0.560  0.336
La  0.318  0.318  0.008